P | Computed, not measured: La2TaCl at its PBEsol-relaxed geometry at the SCAN level of DFT.

abc: 5.540 5.540 3.204
angles: 90.00 90.00 90.00
Sites, in units of the cell vectors:
La1 0.000 0.500 0.000
La2 0.500 0.000 0.000
Ta1 0.000 0.000 0.500
Cl1 0.500 0.500 0.500

## Properties
Its symmetry is P4/mmm.

Q | Computed, not measured: La2TaCl at its PBEsol-relaxed geometry at the SCAN level of DFT.

abc: 10.073 10.073 10.073
angles: 19.43 19.43 19.43
Sites, in units of the cell vectors:
La1 0.248 0.248 0.248
La2 0.752 0.752 0.752
Ta1 0.000 0.000 0.000
Cl1 0.500 0.500 0.500

## Properties
Its symmetry is R-3m.

Q has the most favorable energy; the next structure is 32 meV per atom above.

P | Computed, not measured: LaTc2Cl at its PBEsol-relaxed geometry at the SCAN level of DFT.

abc: 4.597 4.597 4.597
angles: 60.00 60.00 60.00
Sites, in units of the cell vectors:
La1 0.000 0.000 0.000
Tc1 0.250 0.250 0.250
Tc2 0.750 0.750 0.750
Cl1 0.500 0.500 0.500

## Properties
Its symmetry is Fm-3m.

Q | Computed, not measured: LaTc2Cl at its PBEsol-relaxed geometry at the SCAN level of DFT.

abc: 3.698 3.698 5.725
angles: 90.00 90.00 90.00
Sites, in units of the cell vectors:
La1 0.000 0.000 0.000
Tc1 0.000 0.500 0.500
Tc2 0.500 0.000 0.500
Cl1 0.500 0.500 0.000

## Properties
Its symmetry is P4/mmm.

Q has the most favorable energy; the next structure is 916 meV per atom above.

P | Computed, not measured: LaZnCl2 at its PBEsol-relaxed geometry at the SCAN level of DFT.

abc: 4.983 4.983 4.983
angles: 60.00 60.00 60.00
Sites, in units of the cell vectors:
La1 0.000 0.000 0.000
Zn1 0.500 0.500 0.500
Cl1 0.250 0.250 0.250
Cl2 0.750 0.750 0.750

## Properties
Its symmetry is Fm-3m.

Q | Computed, not measured: LaZnCl2 at its PBEsol-relaxed geometry at the SCAN level of DFT.

abc: 5.075 5.075 5.447
angles: 104.28 104.28 44.15
Sites, in units of the cell vectors:
La1 0.000 0.000 0.000
Zn1 0.500 0.500 0.500
Cl1 0.270 0.270 0.778
Cl2 0.730 0.730 0.222

## Properties
Its symmetry is C2/m.

Q has the most favorable energy; the next structure is 79 meV per atom above.

P | Computed, not measured: LaZnCl2 at its PBEsol-relaxed geometry at the SCAN level of DFT.

abc: 8.910 8.910 8.910
angles: 23.05 23.05 23.05
Sites, in units of the cell vectors:
La1 0.000 0.000 0.000
Zn1 0.500 0.500 0.500
Cl1 0.110 0.110 0.110
Cl2 0.890 0.890 0.890

## Properties
Its symmetry is R-3m.

Q | Computed, not measured: LaZnCl2 at its PBEsol-relaxed geometry at the SCAN level of DFT.

abc: 9.891 9.891 9.891
angles: 22.23 22.23 22.23
Sites, in units of the cell vectors:
La1 0.000 0.000 0.000
Zn1 0.500 0.500 0.500
Cl1 0.271 0.271 0.271
Cl2 0.729 0.729 0.729

## Properties
Its symmetry is R-3m.

Q has the most favorable energy; the next structure is 584 meV per atom above.

P | Computed, not measured: LaZn2Cl at its PBEsol-relaxed geometry at the SCAN level of DFT.

abc: 5.593 5.593 3.470
angles: 90.00 90.00 121.35
Sites, in units of the cell vectors:
La1 0.000 0.000 0.000
Zn1 0.000 0.500 0.500
Zn2 0.500 0.000 0.500
Cl1 0.500 0.500 0.000

## Properties
Its symmetry is Cmmm.

Q | Computed, not measured: LaZn2Cl at its PBEsol-relaxed geometry at the SCAN level of DFT.

abc: 3.345 3.345 8.753
angles: 90.00 90.00 113.35
Sites, in units of the cell vectors:
La1 0.000 0.000 0.000
Zn1 0.500 0.500 0.284
Zn2 0.500 0.500 0.716
Cl1 0.000 0.000 0.500

## Properties
Its symmetry is Cmmm.

P has the most favorable energy; the next structure is 241 meV per atom above.

P | Computed, not measured: Li3Cl at its PBEsol-relaxed geometry at the SCAN level of DFT.

abc: 3.349 3.349 8.298
angles: 90.00 90.00 120.00
Sites, in units of the cell vectors:
Li1 0.000 0.000 0.000
Li2 0.333 0.667 0.316
Li3 0.333 0.667 0.684
Cl1 0.000 0.000 0.500

## Properties
Its symmetry is P-6m2.

Q | Computed, not measured: Li3Cl at its PBEsol-relaxed geometry at the SCAN level of DFT.

abc: 10.996 10.996 10.996
angles: 160.17 160.17 28.19
Sites, in units of the cell vectors:
Li1 0.000 0.500 0.500
Li2 0.122 0.122 0.000
Li3 0.250 0.750 0.500
Li4 0.500 0.000 0.500
Li5 0.750 0.250 0.500
Li6 0.878 0.878 0.000
Cl1 0.421 0.421 0.000
Cl2 0.579 0.579 0.000

## Properties
Its symmetry is I4/mmm.

P has the most favorable energy; the next structure is 165 meV per atom above.